Entry 1:
Material: ReTe4Se
Method: DFT, GGA-PBE
State: optimized geometry

```
ReTe4Se
1.0
7.457 0.000 0.000
-2.315 7.148 0.000
-2.310 -1.570 7.260
Re Te Se
2 8 2
direct
0.233 0.042 0.012
0.767 0.958 0.988
0.066 0.673 0.808
0.084 0.007 0.287
0.270 0.425 0.053
0.473 0.099 0.801
0.527 0.901 0.199
0.730 0.575 0.947
0.916 0.993 0.713
0.934 0.327 0.192
0.450 0.749 0.704
0.550 0.251 0.296
```

## Properties
Space group: No. 2

Entry 2:
Material: TeAsIrO
Method: DFT, GGA-PBE
State: optimized geometry

```
TeAsIrO
1.0
4.398 0.000 0.000
0.000 6.318 0.000
0.000 0.000 5.693
Te As Ir O
2 2 2 2
direct
0.000 0.213 0.000
0.000 0.787 0.500
0.000 0.324 0.448
0.000 0.676 0.948
0.500 0.461 0.932
0.500 0.539 0.432
0.500 0.270 0.643
0.500 0.730 0.143
```

## Properties
Space group: No. 26

Entry 3:
Material: Cu4Ag
Method: DFT, GGA-PBE
State: optimized geometry

```
Cu4Ag
1.0
4.162 -1.878 0.000
4.162 1.878 0.000
-0.044 0.000 8.342
Cu Ag
8 2
direct
0.000 0.000 0.000
0.089 0.089 0.688
0.203 0.203 0.410
0.394 0.394 0.782
0.500 0.500 0.500
0.606 0.606 0.218
0.797 0.797 0.590
0.911 0.911 0.312
0.307 0.307 0.110
0.693 0.693 0.890
```

## Properties
Space group: No. 12
Formation enthalpy at 0 K in meV per atom: 63.4

no.,energy above the most stable polymorph in this dataset (meV/atom),E (eV/atom)
1,48,-4.67
2,20,-5.45
3,19,-3.48